This record from Alexandria describes a geometry-optimized AcAgBi2Pd2 structure. The functional is PBE.

a = 5.537 Å, b = 5.537 Å, c = 6.882 Å
α = 113.72°, β = 113.72°, γ = 90.00°
Fractional coordinates of all 6 atoms:
Pd (0.767, 0.767, 0.533)
Pd (0.233, 0.233, 0.467)
Bi (0.750, 0.250, 0.500)
Bi (0.250, 0.750, 0.500)
Ag (0.000, 0.000, 0.000)
Ac (0.500, 0.500, 0.000)

Summary:
Total DFT energy (no corrections) ... -4.37 eV/atom


This record from Alexandria describes a geometry-optimized BeRe2AgF structure. The functional is PBE.

a = 4.986 Å, b = 2.840 Å, c = 4.986 Å
α = 90.00°, β = 90.00°, γ = 90.00°
Fractional coordinates of all 5 atoms:
Re (0.500, 0.000, 0.000)
Re (0.000, 0.000, 0.500)
Ag (0.500, 0.500, 0.500)
F (0.000, 0.500, 0.000)
Be (0.000, 0.000, 0.000)

Summary:
Raw formation energy ... 0.8554 eV/atom
Total DFT energy (no corrections) ... -5.81 eV/atom